[1]
The following is a DFT calculation (GGA-PBE) of a geometry-optimized BaTc2Mo structure.

Structure (extended XYZ):
```
4
Lattice="-4.316 -1.039 -8.581 -4.986 -3.841 -7.330 -6.816 -1.365 -6.709" Properties=species:S:1:pos:R:3 pbc="T T T"
Tc -0.306 -0.119 -0.430
Ba -4.029 -1.561 -5.655
Mo -12.088 -4.684 -16.965
Tc -7.753 -3.004 -10.880
```

Magnetization = 0.000 μB/atom
Energy of formation from the pure elements = 0.8579 eV/atom
Total DFT energy (no corrections) = -7.51 eV per atom
SG = R-3m (166)
E above lowest polymorph = 244 meV per atom
N(E_F) = 3.7 states/eV per cell



[2]
The following is a DFT calculation (GGA-PBE) of a geometry-optimized MgHPbO2 structure.

Structure (extended XYZ):
```
5
Lattice="-4.183 0.848 1.072 -0.978 -1.095 -2.950 -0.403 -4.063 1.641" Properties=species:S:1:pos:R:3 pbc="T T T"
H 0.000 0.000 0.000
Mg -2.782 -2.155 -0.118
O -0.201 -2.032 0.821
Pb -0.489 -0.547 -1.475
O -2.091 0.424 0.536
```

Magnetization = 0.000 μB/atom
Total DFT energy (no corrections) = -3.80 eV per atom
SG = P4/mmm (123)
N(E_F) = 0.5 states/eV per cell



[3]
The following is a DFT calculation (GGA-PBE) of a geometry-optimized CdWCl2 structure.

Structure (extended XYZ):
```
4
Lattice="7.314 0.046 -0.001 5.316 5.025 0.001 -5.926 -3.504 2.471" Properties=species:S:1:pos:R:3 pbc="T T T"
W 6.504 2.611 0.000
Cl 2.705 -0.922 1.235
Cl 12.568 5.045 0.000
Cd 3.873 2.438 1.236
```

Magnetization = 0.000 μB/atom
Total DFT energy (no corrections) = -4.07 eV per atom
SG = Imm2 (44)
Formation energy (no corrections) = 0.3161 eV per atom
E above lowest polymorph = 389 meV per atom
N(E_F) = 3.2 states/eV per cell



[4]
The following is a DFT calculation (GGA-PBE) of a geometry-optimized ErTmCd3 structure.

Structure (extended XYZ):
```
10
Lattice="-4.252 -0.620 3.732 -3.431 -1.733 -4.197 6.863 -9.031 1.978" Properties=species:S:1:pos:R:3 pbc="T T T"
Cd -0.120 -2.967 -0.630
Cd 1.679 -5.672 0.970
Cd -1.815 -3.823 -2.703
Tm -0.120 -7.087 3.025
Er -0.205 -5.971 -1.226
Cd -0.493 -8.700 0.136
Er 0.000 0.000 0.000
Cd 1.607 -8.393 -1.707
Tm -1.111 -3.741 2.453
Cd -2.499 -5.713 0.543
```

Magnetization = 0.000 μB/atom
Energy of formation from the pure elements = 0.3050 eV/atom
Total DFT energy (no corrections) = -2.05 eV per atom
SG = I-4m2 (119)
E above lowest polymorph = 579 meV per atom
N(E_F) = 10.0 states/eV per cell



[5]
The following is a DFT calculation (GGA-PBE) of a geometry-optimized Nd2InPd3Au12 structure.

Structure (extended XYZ):
```
18
Lattice="6.974 -1.424 -1.010 2.206 6.768 -1.010 2.206 1.284 6.721" Properties=species:S:1:pos:R:3 pbc="T T T"
Au 5.654 3.291 -0.280
In 0.000 0.000 0.000
Au 5.828 0.607 0.430
Au 3.509 4.509 3.198
Pd 3.487 -0.712 -0.505
Au 5.733 3.337 4.981
Pd 1.103 3.384 -0.505
Au 7.982 4.646 0.344
Pd 1.103 0.642 3.361
Au 3.405 4.768 0.430
Au 5.733 5.804 1.503
Au 7.982 1.861 4.271
Au 7.879 2.119 1.503
Nd 3.016 1.756 1.245
Au 3.405 1.982 4.357
Nd 8.371 4.873 3.456
Au 5.560 6.022 4.271
Au 5.654 0.824 3.198
```

Magnetization = 0.000 μB/atom
Energy of formation from the pure elements = -0.2593 eV/atom
Total DFT energy (no corrections) = -3.99 eV per atom
SG = R-3m (166)
N(E_F) = 6.0 states/eV per cell



[6]
The following is a DFT calculation (GGA-PBE) of a geometry-optimized Ca2TlCd6 structure.

Structure (extended XYZ):
```
9
Lattice="3.525 0.000 -0.371 0.000 8.831 0.000 -2.652 -4.415 7.885" Properties=species:S:1:pos:R:3 pbc="T T T"
Tl 0.000 0.000 0.000
Cd 2.063 1.468 2.314
Cd 2.063 -1.468 2.314
Cd -1.190 2.948 5.200
Cd -1.190 5.883 5.200
Ca 0.290 4.415 2.498
Cd 1.763 5.888 -0.186
Ca 0.583 0.000 5.016
Cd 1.763 2.943 -0.186
```

Magnetization = 0.000 μB/atom
Energy of formation from the pure elements = -0.2100 eV/atom
Total DFT energy (no corrections) = -1.53 eV per atom
SG = C2/m (12)
E above lowest polymorph = 16 meV per atom
N(E_F) = 5.1 states/eV per cell



- Look up the N(E_F) of the sixth one.
  5.1 states/eV per cell



- Which of these has the lowest total DFT energy (no corrections)?
  BaTc2Mo